[1]
NiRh2W | PBE | optimized geometry

Computed properties:
The value obtained for the energy is -8.55 eV/atom.

Geometry as extended XYZ:
```
4
Lattice="-1.924 1.924 3.729 1.924 -1.924 3.729 1.924 1.924 -3.729" Properties=species:S:1:pos:R:3 pbc="T T T"
Ni 0.000 0.000 0.000
Rh 1.924 0.000 1.864
Rh 0.000 1.924 1.864
W 0.000 0.000 3.729
```

***

[2]
Ni2Rh2W | PBE | optimized geometry

Computed properties:
The value obtained for the energy is -7.65 eV/atom.

Geometry as extended XYZ:
```
10
Lattice="6.973 0.000 0.000 0.000 6.973 0.000 0.000 0.000 2.789" Properties=species:S:1:pos:R:3 pbc="T T T"
Ni 1.164 2.323 0.000
Ni 2.323 5.810 0.000
Ni 4.650 1.164 0.000
Ni 5.810 4.650 0.000
Rh 0.917 4.404 1.395
Rh 2.569 0.917 1.395
Rh 4.404 6.056 1.395
Rh 6.056 2.569 1.395
W 0.000 0.000 1.395
W 3.487 3.487 1.395
```

***

[3]
NiRhW2 | PBE | optimized geometry

Computed properties:
The value obtained for the energy is -9.76 eV/atom.

Geometry as extended XYZ:
```
4
Lattice="2.807 0.000 0.000 0.000 3.648 0.000 0.000 0.000 5.648" Properties=species:S:1:pos:R:3 pbc="T T T"
Ni 0.000 0.000 0.000
Rh 1.403 1.824 1.418
W 0.000 0.000 2.784
W 1.403 1.824 4.435
```

***

[4]
Ni3Rh2W | PBE | optimized geometry

Computed properties:
The value obtained for the energy is -7.60 eV/atom.

Geometry as extended XYZ:
```
6
Lattice="1.860 -5.569 0.000 1.860 5.569 0.000 0.000 0.000 3.734" Properties=species:S:1:pos:R:3 pbc="T T T"
Ni 0.000 0.000 0.000
Ni 1.860 1.839 0.000
Ni 1.860 -1.839 0.000
Rh 1.860 3.784 1.867
Rh 1.860 -3.784 1.867
W 1.860 0.000 1.867
```

***

[5]
Ni4RhW | PBE | optimized geometry

Computed properties:
The value obtained for the energy is -7.29 eV/atom.

Geometry as extended XYZ:
```
6
Lattice="2.256 -3.855 0.000 2.256 3.855 0.000 -1.475 0.000 4.226" Properties=species:S:1:pos:R:3 pbc="T T T"
Ni 2.256 2.567 0.000
Ni 1.519 1.297 2.113
Ni 1.519 -1.297 2.113
Ni 2.256 -2.567 0.000
Rh 2.256 0.000 0.000
W -0.738 0.000 2.113
```

***

[6]
NiRh2W | PBE | optimized geometry

Computed properties:
The value obtained for the energy is -8.50 eV/atom.

Geometry as extended XYZ:
```
4
Lattice="2.744 0.000 0.000 0.000 3.722 0.000 0.000 0.000 5.439" Properties=species:S:1:pos:R:3 pbc="T T T"
Ni 0.000 0.000 0.000
Rh 1.372 1.861 1.313
Rh 1.372 1.861 4.126
W 0.000 0.000 2.719
```